# ScTl2Pt, relaxed, DFT GGA-PBE
# Final energy (eV per atom): -4.6897
# Energy of formation from the pure elements (meV/atom): -413
data_ScTl2Pt
_chemical_formula_sum 'Sc1 Tl2 Pt1'
_cell_length_a 3.487
_cell_length_b 3.487
_cell_length_c 7.733
_cell_angle_alpha 90.00
_cell_angle_beta 90.00
_cell_angle_gamma 90.00
_symmetry_space_group_name_H-M 'P 4 m m'
_symmetry_Int_Tables_number 99
_symmetry_space_group_name_Hall 'P 4 -2'
loop_
_atom_site_label
_atom_site_fract_x
_atom_site_fract_y
_atom_site_fract_z
Sc1 0.000 0.000 0.000
Tl1 0.000 0.000 0.587
Tl2 0.500 0.500 0.278
Pt1 0.500 0.500 0.848